# Na2LiNpF6

Crystalline Na2LiNpF6 at its relaxed geometry (PBE, the Alexandria database).

The structure in CIF format:
```
data_Na2LiNpF6
_chemical_formula_sum 'Na4 Li2 Np2 F12'
_symmetry_space_group_name_H-M 'P 1'
_symmetry_Int_Tables_number 1
_cell_length_a 5.650
_cell_length_b 5.772
_cell_length_c 8.818
_cell_angle_alpha 90.00
_cell_angle_beta 95.32
_cell_angle_gamma 90.00
loop_
_symmetry_equiv_pos_as_xyz
'x,y,z'
loop_
_atom_site_label
_atom_site_fract_x
_atom_site_fract_y
_atom_site_fract_z
Np1 0.500 0.000 0.000
Np2 0.000 0.500 0.500
F1 0.343 0.916 0.757
F2 0.719 0.302 0.913
F3 0.816 0.783 0.933
F4 0.281 0.698 0.087
F5 0.781 0.802 0.587
F6 0.843 0.584 0.257
F7 0.184 0.217 0.067
F8 0.316 0.717 0.433
F9 0.157 0.416 0.743
F10 0.219 0.198 0.413
F11 0.657 0.084 0.243
F12 0.684 0.283 0.567
Na1 0.458 0.442 0.262
Na2 0.042 0.942 0.238
Na3 0.542 0.558 0.738
Na4 0.958 0.058 0.762
Li1 0.000 0.500 0.000
Li2 0.500 0.000 0.500
```

Summary:
formation energy without anion corrections: -3003 meV per atom
size of the total moment: 4.0 μB per formula unit

=====

# CaTe2Ir

Crystalline CaTe2Ir at its relaxed geometry (PBE, the Alexandria database).

The structure in CIF format:
```
data_CaTe2Ir
_chemical_formula_sum 'Ca1 Te2 Ir1'
_symmetry_space_group_name_H-M 'P 1'
_symmetry_Int_Tables_number 1
_cell_length_a 4.629
_cell_length_b 6.124
_cell_length_c 4.508
_cell_angle_alpha 68.42
_cell_angle_beta 90.00
_cell_angle_gamma 90.00
loop_
_symmetry_equiv_pos_as_xyz
'x,y,z'
loop_
_atom_site_label
_atom_site_fract_x
_atom_site_fract_y
_atom_site_fract_z
Ca1 0.000 0.407 0.609
Te1 0.500 0.249 0.188
Te2 0.000 0.817 0.904
Ir1 0.500 0.027 0.799
```

Summary:
energy relative to the lowest polymorph listed for this composition: 0.048 eV/atom
formation energy without anion corrections: -536 meV per atom
size of the total moment: 0.0 μB per formula unit